The following is a DFT calculation (PBE with a Hubbard U) of a relaxed NiHIO2 crystal.

Cell: 3.5108 3.5108 7.3245 Å, 90.00 90.00 90.00°
Atoms (fractional coordinates):
O 0.0000 0.5000 0.0000
O 0.5000 0.0000 0.0000
Ni 0.0000 0.0000 0.0000
I 0.0000 0.0000 0.5000
H 0.5000 0.5000 0.5000

Values from the calculation:
ΔE to the lowest computed polymorph: 0 meV/atom
crystal system: tetragonal
symmetry: P4/mmm
total magnetic moment: 2.184 μB/f.u.